This record from the Alexandria database describes a relaxed structure of CuAg2RhF6. The functional is PBE-GGA.

calculated volume = 13.5 Å³ per atom
final energy = -4.07 eV/atom
spin magnetization = 0.1 μB/f.u.

abc: 5.789 5.749 8.133
angles: 90.00 89.82 90.00
Sites, in units of the cell vectors:
Cu 0.500 0.000 0.000
Cu 0.000 0.500 0.500
Ag 0.009 0.958 0.251
Ag 0.509 0.542 0.751
Ag 0.991 0.042 0.749
Ag 0.491 0.458 0.249
Rh 0.500 0.000 0.500
Rh 0.000 0.500 0.000
F 0.289 0.703 0.043
F 0.789 0.797 0.543
F 0.711 0.297 0.957
F 0.211 0.203 0.457
F 0.298 0.711 0.453
F 0.798 0.789 0.953
F 0.702 0.289 0.547
F 0.202 0.211 0.047
F 0.912 0.516 0.247
F 0.412 0.984 0.747
F 0.088 0.484 0.753
F 0.588 0.016 0.253